Compound: GdZn
Source: the Open Quantum Materials Database
Functional: PBE
Structure: optimized geometry

Lattice parameters (Å, degrees): 6.5187 6.5187 5.0622 90.00 90.00 120.00
Fractional positions:
Gd 0.0000 0.0000 0.0000
Gd 0.3450 0.1725 0.5000
Gd 0.8275 0.1725 0.5000
Gd 0.8275 0.6550 0.5000
Zn 0.0294 0.5147 0.0000
Zn 0.3333 0.6667 0.5000
Zn 0.4853 0.5147 0.0000
Zn 0.4853 0.9706 0.0000

Properties
The value obtained for the distance to the lowest polymorph of the same formula is 9.86 kcal/mol of atoms. Its formation energy is 89 meV/atom. For the size of the total moment, the calculation gives 0.01 μB per formula unit.